PBE+U HoCoNO, optimized geometry; energy relative to the lowest polymorph listed for this composition = 136.5 meV per atom; crystal system = tetragonal; calculated total energy = -7.003 eV per atom
1.0
4.559 0.000 0.000
0.000 4.559 0.000
0.000 0.000 4.558
Ho Co N O
2 2 2 2
Direct
0.250 0.750 0.000 Ho
0.750 0.250 0.000 Ho
0.250 0.250 0.499 Co
0.750 0.750 0.501 Co
0.250 0.250 0.001 N
0.750 0.750 0.999 N
0.250 0.750 0.500 O
0.750 0.250 0.500 O